Entry 1:
A plane-wave DFT calculation with PBE was carried out for an optimized crystal structure of Mg5Pd6Au.

The calculation puts the total magnetization at 0.00 Bohr magnetons per cell. The volume comes out at 16.129 Å³/atom. The density of states at the Fermi level comes out at 3.4 states/eV/f.u. Its energy of formation from the pure elements is -0.6837 eV/atom.

It has space group Immm (No. 71), with a = 4.2691 Å, b = 7.1387 Å, c = 12.7019 Å, α = 90.00°, β = 90.00° and γ = 90.00°. The distinct sites, in fractional coordinates, are Mg at (0.0000, 0.0000, 0.0000), Mg at (0.0000, 0.0000, 0.3463), Mg at (0.0000, 0.5000, 0.3277), Pd at (0.0000, 0.2390, 0.1696), Pd at (0.0000, 0.2711, 0.5000) and Au at (0.0000, 0.5000, 0.0000).

=====

Entry 2:
A plane-wave DFT calculation with PBE was carried out for an optimized crystal structure of SrCd11Ag.

The calculation puts the total magnetization at 0.00 Bohr magnetons per cell. The volume comes out at 23.362 Å³/atom. The density of states at the Fermi level comes out at 5.1 states/eV/f.u. Its energy of formation from the pure elements is -0.1246 eV/atom.

It has space group C2/m (No. 12), with a = 5.9218 Å, b = 14.3554 Å, c = 7.7219 Å, α = 90.00°, β = 112.28° and γ = 90.00°. The distinct sites, in fractional coordinates, are Sr at (0.0000, 0.0000, 0.0000), Cd at (0.0000, 0.5000, 0.5000), Cd at (0.1146, 0.3930, 0.2180), Cd at (0.1712, 0.1747, 0.3563), Cd at (0.2500, 0.2500, 0.0000) and Ag at (0.0000, 0.0000, 0.5000).

=====

Q: Look up the total magnetization of the first one.
A: 0.00 Bohr magnetons per cell